The following is a PBE calculation of a relaxed SmGd2Os crystal, from Alexandria.

Unit cell a=3.4306 b=3.4306 c=9.3824 alpha=90.00 beta=90.00 gamma=90.00
Space group P4/mmm (No. 123)
Symmetry-distinct sites (fractional):
Sm 0.0000 0.0000 0.0000
Gd 0.5000 0.5000 0.3208
Os 0.0000 0.0000 0.5000

***

The following is a PBE calculation of a relaxed SmGd3Os crystal, from Alexandria.

Unit cell a=5.4768 b=5.4768 c=5.4768 alpha=90.00 beta=90.00 gamma=90.00
Space group Pm-3m (No. 221)
Symmetry-distinct sites (fractional):
Sm 0.0000 0.0000 0.0000
Gd 0.0000 0.5000 0.5000
Os 0.5000 0.5000 0.5000

***

The following is a PBE calculation of a relaxed Sm2GdOs crystal, from Alexandria.

Unit cell a=3.5502 b=3.5502 c=32.6278 alpha=90.00 beta=90.00 gamma=120.00
Space group R-3m (No. 166, hexagonal axes)
Symmetry-distinct sites (fractional):
Sm 0.0000 0.0000 0.1059
Gd 0.0000 0.0000 0.0000
Os 0.0000 0.0000 0.5000

***

The following is a PBE calculation of a relaxed SmGd2Os crystal, from Alexandria.

Unit cell a=4.8099 b=4.8099 c=15.3424 alpha=90.00 beta=90.00 gamma=120.00
Space group R-3m (No. 166, hexagonal axes)
Symmetry-distinct sites (fractional):
Sm 0.0000 0.0000 0.0000
Gd 0.0000 0.0000 0.2287
Os 0.0000 0.0000 0.5000

***

Number 1: energy of formation from the pure elements -0.07 eV per atom, DOS at the Fermi energy 0.740 states/eV per atom. Number 2: energy of formation from the pure elements 0.01 eV per atom, DOS at the Fermi energy 1.034 states/eV per atom. Number 3: energy of formation from the pure elements 0.34 eV per atom, DOS at the Fermi energy 1.925 states/eV per atom. Number 4: energy of formation from the pure elements 0.15 eV per atom, DOS at the Fermi energy 1.122 states/eV per atom.